Entry 1:
Er3ZnCu4 | PBE-GGA | optimized geometry

Structure (POSCAR):
```
Er3ZnCu4
1.0
-0.198 0.983 3.707
-4.436 -4.554 0.970
7.129 -2.599 -0.918
Er Cu Zn
3 4 1
direct
0.000 0.500 0.000
0.188 0.188 0.376
0.812 0.812 0.624
0.623 0.819 0.246
0.623 0.428 0.246
0.377 0.572 0.754
0.377 0.181 0.754
0.500 0.000 0.000
```

E in eV per atom: -4.01
Mass density in g/cm3: 8.3
Formation enthalpy at 0 K in eV/atom: -0.10


Entry 2:
Er3Zn8Cu3 | PBE-GGA | optimized geometry

Structure (POSCAR):
```
Er3Zn8Cu3
1.0
4.295 0.000 0.000
2.147 7.704 0.303
2.147 2.389 7.331
Zn Er Cu
8 3 3
direct
0.372 0.340 0.915
0.839 0.518 0.803
0.161 0.197 0.482
0.372 0.915 0.340
0.628 0.085 0.660
0.839 0.803 0.518
0.161 0.482 0.197
0.628 0.660 0.085
0.799 0.201 0.201
0.500 0.500 0.500
0.201 0.799 0.799
0.000 0.818 0.182
0.000 0.182 0.818
0.500 0.000 0.000
```

E in eV per atom: -2.87
Mass density in g/cm3: 8.4
Formation enthalpy at 0 K in eV/atom: -0.29


Entry 3:
ErZn6Cu12 | PBE-GGA | optimized geometry

Structure (POSCAR):
```
ErZn6Cu12
1.0
6.757 0.057 0.081
-1.619 6.560 0.081
-1.619 -2.086 6.220
Cu Zn Er
12 6 1
direct
0.886 0.632 0.632
0.500 0.890 0.110
0.890 0.500 0.110
0.632 0.886 0.632
0.890 0.110 0.500
0.110 0.890 0.500
0.500 0.110 0.890
0.368 0.114 0.368
0.368 0.368 0.114
0.114 0.368 0.368
0.632 0.632 0.886
0.110 0.500 0.890
0.712 0.303 0.712
0.697 0.288 0.288
0.288 0.288 0.697
0.303 0.712 0.712
0.288 0.697 0.288
0.712 0.712 0.303
0.000 0.000 0.000
```

E in eV per atom: -3.19
Mass density in g/cm3: 7.9
Formation enthalpy at 0 K in eV/atom: 0.04


Entry 4:
Er2Zn3Cu | PBE-GGA | optimized geometry

Structure (POSCAR):
```
Er2Zn3Cu
1.0
3.470 0.000 0.000
0.000 4.371 0.000
0.000 0.000 7.665
Zn Er Cu
3 2 1
direct
0.500 0.500 0.665
0.500 0.000 0.833
0.500 0.000 0.166
0.000 0.000 0.492
0.000 0.500 0.009
0.500 0.500 0.335
```

E in eV per atom: -3.19
Mass density in g/cm3: 8.5
Formation enthalpy at 0 K in eV/atom: -0.35


Entry 5:
Er3Zn2Cu4 | PBE-GGA | optimized geometry

Structure (POSCAR):
```
Er3Zn2Cu4
1.0
4.233 0.000 0.000
-2.116 4.829 -0.005
0.000 -1.292 8.188
Er Cu Zn
3 4 2
direct
0.624 0.248 0.378
0.376 0.752 0.622
0.000 0.000 0.000
0.723 0.445 0.078
0.277 0.555 0.922
0.920 0.839 0.364
0.080 0.161 0.636
0.311 0.622 0.231
0.689 0.378 0.769
```

E in eV per atom: -3.90
Mass density in g/cm3: 8.8
Formation enthalpy at 0 K in eV/atom: -0.28


Entry 6:
ErZn2Cu | PBE-GGA | optimized geometry

Structure (POSCAR):
```
ErZn2Cu
1.0
-1.300 -0.086 -2.892
0.990 -2.992 -0.356
-5.894 -2.272 2.716
Zn Cu Er
2 1 1
direct
0.000 0.000 0.198
0.000 0.000 0.802
0.500 0.500 0.000
0.500 0.500 0.500
```

E in eV per atom: -2.96
Mass density in g/cm3: 8.7
Formation enthalpy at 0 K in eV/atom: -0.16


Entry 7:
Er2ZnCu2 | PBE-GGA | optimized geometry

Structure (POSCAR):
```
Er2ZnCu2
1.0
-2.839 -2.783 1.646
2.112 -5.181 0.506
1.121 0.834 8.966
Er Cu Zn
4 4 2
direct
0.321 0.692 0.665
0.679 0.308 0.335
0.917 0.278 0.888
0.083 0.722 0.112
0.633 0.846 0.888
0.929 0.707 0.435
0.071 0.293 0.565
0.367 0.154 0.112
0.625 0.101 0.649
0.375 0.899 0.351
```

E in eV per atom: -4.00
Mass density in g/cm3: 8.9
Formation enthalpy at 0 K in eV/atom: -0.28


Entry 8:
ErZnCu3 | PBE-GGA | optimized geometry

Structure (POSCAR):
```
ErZnCu3
1.0
1.424 -0.681 -4.749
2.481 -8.624 1.980
-5.172 3.541 0.578
Er Zn Cu
2 2 6
direct
0.250 0.244 0.500
0.750 0.756 0.500
0.500 0.000 0.000
0.000 0.500 0.000
0.191 0.691 0.882
0.309 0.309 0.118
0.809 0.309 0.118
0.691 0.691 0.882
0.250 0.940 0.500
0.750 0.060 0.500
```

E in eV per atom: -3.77
Mass density in g/cm3: 8.7
Formation enthalpy at 0 K in eV/atom: -0.15